one:
# La2Ho4Tm3

A relaxed structure of La2Ho4Tm3 (GGA-PBE, Alexandria via LeMat-Bulk).

## Properties
crystal system: orthorhombic

Cell and atoms, written as CIF:
```
data_La2Ho4Tm3
_space_group_name_H-M_alt 'F m m m'
_space_group_IT_number 69
_space_group_name_Hall '-F 2 2'
_cell_length_a 6.082
_cell_length_b 12.343
_cell_length_c 15.919
_cell_angle_alpha 90.00
_cell_angle_beta 90.00
_cell_angle_gamma 90.00
loop_
_atom_site_label
_atom_site_fract_x
_atom_site_fract_y
_atom_site_fract_z
La1 0.000 0.000 0.115
Ho1 0.000 0.144 0.313
Tm1 0.000 0.000 0.500
Tm2 0.250 0.250 0.000
```

two:
# La2Ho4Tm3

A relaxed structure of La2Ho4Tm3 (GGA-PBE, Alexandria via LeMat-Bulk).

## Properties
crystal system: trigonal

Cell and atoms, written as CIF:
```
data_La2Ho4Tm3
_space_group_name_H-M_alt 'P 3 m 1'
_space_group_IT_number 156
_space_group_name_Hall 'P 3 -2"'
_cell_length_a 3.5843
_cell_length_b 3.5843
_cell_length_c 26.2816
_cell_angle_alpha 90.00
_cell_angle_beta 90.00
_cell_angle_gamma 120.00
loop_
_atom_site_label
_atom_site_fract_x
_atom_site_fract_y
_atom_site_fract_z
La1 0.0000 0.0000 0.0000
La2 0.0000 0.0000 0.2236
Ho1 0.0000 0.0000 0.3583
Ho2 0.0000 0.0000 0.5680
Ho3 0.3333 0.6667 0.6748
Ho4 0.3333 0.6667 0.8857
Tm1 0.0000 0.0000 0.7806
Tm2 0.3333 0.6667 0.1142
Tm3 0.3333 0.6667 0.4621
```

It comes down to two, which is 130 meV/atom more stable than the next structure.

one:
# La3HoTm3

A relaxed structure of La3HoTm3 (GGA-PBE, Alexandria via LeMat-Bulk).

## Properties
crystal system: trigonal

Cell and atoms, written as CIF:
```
data_La3HoTm3
_space_group_name_H-M_alt 'R -3'
_space_group_IT_number 148
_space_group_name_Hall '-R 3'
_cell_length_a 6.2081
_cell_length_b 6.2081
_cell_length_c 43.7075
_cell_angle_alpha 90.00
_cell_angle_beta 90.00
_cell_angle_gamma 120.00
loop_
_atom_site_label
_atom_site_fract_x
_atom_site_fract_y
_atom_site_fract_z
La1 0.0007 0.3300 0.1290
Ho1 0.0000 0.0000 0.3333
Tm1 0.0000 0.3327 0.9371
```

two:
# La3HoTm3

A relaxed structure of La3HoTm3 (GGA-PBE, Alexandria via LeMat-Bulk).

## Properties
crystal system: trigonal

Cell and atoms, written as CIF:
```
data_La3HoTm3
_space_group_name_H-M_alt 'R -3'
_space_group_IT_number 148
_space_group_name_Hall '-R 3'
_cell_length_a 9.4053
_cell_length_b 9.4053
_cell_length_c 18.6626
_cell_angle_alpha 90.00
_cell_angle_beta 90.00
_cell_angle_gamma 120.00
loop_
_atom_site_label
_atom_site_fract_x
_atom_site_fract_y
_atom_site_fract_z
La1 0.0519 0.2446 0.0778
Ho1 0.0000 0.0000 0.4083
Tm1 0.0513 0.2349 0.2611
```

It comes down to two, which is 48 meV/atom more stable than the next structure.

one:
# La3Ho4Tm

A relaxed structure of La3Ho4Tm (GGA-PBE, Alexandria via LeMat-Bulk).

## Properties
crystal system: orthorhombic

Cell and atoms, written as CIF:
```
data_La3Ho4Tm
_space_group_name_H-M_alt 'P m n 21'
_space_group_IT_number 31
_space_group_name_Hall 'P 2ac -2'
_cell_length_a 11.495
_cell_length_b 6.753
_cell_length_c 6.858
_cell_angle_alpha 90.00
_cell_angle_beta 90.00
_cell_angle_gamma 90.00
loop_
_atom_site_label
_atom_site_fract_x
_atom_site_fract_y
_atom_site_fract_z
La1 0.000 0.207 0.000
La2 0.229 0.550 0.259
Ho1 0.000 0.321 0.517
Ho2 0.000 0.834 0.366
Ho3 0.231 0.975 0.641
Tm1 0.000 0.715 0.871
```

two:
# La3Ho4Tm

A relaxed structure of La3Ho4Tm (GGA-PBE, Alexandria via LeMat-Bulk).

## Properties
crystal system: orthorhombic

Cell and atoms, written as CIF:
```
data_La3Ho4Tm
_space_group_name_H-M_alt 'I m m m'
_space_group_IT_number 71
_space_group_name_Hall '-I 2 2'
_cell_length_a 3.507
_cell_length_b 11.796
_cell_length_c 13.052
_cell_angle_alpha 90.00
_cell_angle_beta 90.00
_cell_angle_gamma 90.00
loop_
_atom_site_label
_atom_site_fract_x
_atom_site_fract_y
_atom_site_fract_z
La1 0.000 0.000 0.000
La2 0.000 0.500 0.244
Ho1 0.000 0.244 0.366
Tm1 0.000 0.000 0.500
```

It comes down to one, which is 63 meV/atom more stable than the next structure.

one:
# La3Ho2Tm

A relaxed structure of La3Ho2Tm (GGA-PBE, Alexandria via LeMat-Bulk).

## Properties
crystal system: orthorhombic

Cell and atoms, written as CIF:
```
data_La3Ho2Tm
_space_group_name_H-M_alt 'I m m m'
_space_group_IT_number 71
_space_group_name_Hall '-I 2 2'
_cell_length_a 3.466
_cell_length_b 6.024
_cell_length_c 19.686
_cell_angle_alpha 90.00
_cell_angle_beta 90.00
_cell_angle_gamma 90.00
loop_
_atom_site_label
_atom_site_fract_x
_atom_site_fract_y
_atom_site_fract_z
La1 0.000 0.000 0.000
La2 0.000 0.500 0.186
Ho1 0.000 0.500 0.363
Tm1 0.000 0.500 0.000
```

two:
# La3Ho2Tm

A relaxed structure of La3Ho2Tm (GGA-PBE, Alexandria via LeMat-Bulk).

## Properties
crystal system: hexagonal

Cell and atoms, written as CIF:
```
data_La3Ho2Tm
_space_group_name_H-M_alt 'P 63/m c m'
_space_group_IT_number 193
_space_group_name_Hall '-P 6c 2'
_cell_length_a 6.3065
_cell_length_b 6.3065
_cell_length_c 11.8078
_cell_angle_alpha 90.00
_cell_angle_beta 90.00
_cell_angle_gamma 120.00
loop_
_atom_site_label
_atom_site_fract_x
_atom_site_fract_y
_atom_site_fract_z
La1 0.0000 0.3325 0.2500
Ho1 0.3333 0.6667 0.0000
Tm1 0.0000 0.0000 0.0000
```

It comes down to two, which is 286 meV/atom more stable than the next structure.

one:
# La2HoTm3

A relaxed structure of La2HoTm3 (GGA-PBE, Alexandria via LeMat-Bulk).

## Properties
crystal system: orthorhombic

Cell and atoms, written as CIF:
```
data_La2HoTm3
_space_group_name_H-M_alt 'C m c 21'
_space_group_IT_number 36
_space_group_name_Hall 'C 2c -2'
_cell_length_a 9.335
_cell_length_b 13.302
_cell_length_c 6.458
_cell_angle_alpha 90.00
_cell_angle_beta 90.00
_cell_angle_gamma 90.00
loop_
_atom_site_label
_atom_site_fract_x
_atom_site_fract_y
_atom_site_fract_z
La1 0.186 0.179 0.000
Ho1 0.000 0.332 0.718
Tm1 0.000 0.422 0.236
Tm2 0.187 0.068 0.482
```

two:
# La2HoTm3

A relaxed structure of La2HoTm3 (GGA-PBE, Alexandria via LeMat-Bulk).

## Properties
crystal system: triclinic

Cell and atoms, written as CIF:
```
data_La2HoTm3
_space_group_name_H-M_alt 'P -1'
_space_group_IT_number 2
_space_group_name_Hall '-P 1'
_cell_length_a 6.670
_cell_length_b 6.679
_cell_length_c 8.999
_cell_angle_alpha 97.65
_cell_angle_beta 97.77
_cell_angle_gamma 95.27
loop_
_atom_site_label
_atom_site_fract_x
_atom_site_fract_y
_atom_site_fract_z
La1 0.125 0.125 0.375
La2 0.375 0.375 0.125
Ho1 0.080 0.414 0.749
Tm1 0.165 0.832 0.997
Tm2 0.335 0.668 0.503
Tm3 0.420 0.086 0.751
```

It comes down to two, which is 171 meV/atom more stable than the next structure.

one:
# La3HoTm2

A relaxed structure of La3HoTm2 (GGA-PBE, Alexandria via LeMat-Bulk).

## Properties
crystal system: monoclinic

Cell and atoms, written as CIF:
```
data_La3HoTm2
_space_group_name_H-M_alt 'C 1 2/m 1'
_space_group_IT_number 12
_space_group_name_Hall '-C 2y'
_cell_length_a 20.517
_cell_length_b 3.619
_cell_length_c 14.870
_cell_angle_alpha 90.00
_cell_angle_beta 132.10
_cell_angle_gamma 90.00
loop_
_atom_site_label
_atom_site_fract_x
_atom_site_fract_y
_atom_site_fract_z
La1 0.070 0.000 0.398
La2 0.111 0.500 0.650
La3 0.146 0.000 0.896
Ho1 0.027 0.500 0.145
Tm1 0.192 0.500 0.142
Tm2 0.225 0.000 0.373
```

two:
# La3HoTm2

A relaxed structure of La3HoTm2 (GGA-PBE, Alexandria via LeMat-Bulk).

## Properties
crystal system: orthorhombic

Cell and atoms, written as CIF:
```
data_La3HoTm2
_space_group_name_H-M_alt 'I m m m'
_space_group_IT_number 71
_space_group_name_Hall '-I 2 2'
_cell_length_a 3.472
_cell_length_b 5.998
_cell_length_c 19.686
_cell_angle_alpha 90.00
_cell_angle_beta 90.00
_cell_angle_gamma 90.00
loop_
_atom_site_label
_atom_site_fract_x
_atom_site_fract_y
_atom_site_fract_z
La1 0.000 0.000 0.000
La2 0.000 0.500 0.187
Ho1 0.000 0.500 0.000
Tm1 0.000 0.500 0.362
```

It comes down to one, which is 245 meV/atom more stable than the next structure.

one:
# La2Ho6Tm

A relaxed structure of La2Ho6Tm (GGA-PBE, Alexandria via LeMat-Bulk).

## Properties
crystal system: hexagonal

Cell and atoms, written as CIF:
```
data_La2Ho6Tm
_space_group_name_H-M_alt 'P 6/m m m'
_space_group_IT_number 191
_space_group_name_Hall '-P 6 2'
_cell_length_a 9.7998
_cell_length_b 9.7998
_cell_length_c 3.4824
_cell_angle_alpha 90.00
_cell_angle_beta 90.00
_cell_angle_gamma 120.00
loop_
_atom_site_label
_atom_site_fract_x
_atom_site_fract_y
_atom_site_fract_z
La1 0.3333 0.6667 0.0000
Ho1 0.0000 0.3293 0.5000
Tm1 0.0000 0.0000 0.0000
```

two:
# La2Ho6Tm

A relaxed structure of La2Ho6Tm (GGA-PBE, Alexandria via LeMat-Bulk).

## Properties
crystal system: hexagonal

Cell and atoms, written as CIF:
```
data_La2Ho6Tm
_space_group_name_H-M_alt 'P -6 m 2'
_space_group_IT_number 187
_space_group_name_Hall 'P -6 2'
_cell_length_a 3.5777
_cell_length_b 3.5777
_cell_length_c 26.4418
_cell_angle_alpha 90.00
_cell_angle_beta 90.00
_cell_angle_gamma 120.00
loop_
_atom_site_label
_atom_site_fract_x
_atom_site_fract_y
_atom_site_fract_z
La1 0.0000 0.0000 0.1724
Ho1 0.0000 0.0000 0.3945
Ho2 0.6667 0.3333 0.0625
Ho3 0.6667 0.3333 0.2894
Tm1 0.6667 0.3333 0.5000
```

It comes down to two, which is 6 meV/atom more stable than the next structure.

one:
# La6Ho3Tm

A relaxed structure of La6Ho3Tm (GGA-PBE, Alexandria via LeMat-Bulk).

## Properties
crystal system: trigonal

Cell and atoms, written as CIF:
```
data_La6Ho3Tm
_space_group_name_H-M_alt 'R -3 m'
_space_group_IT_number 166
_space_group_name_Hall '-R 3 2"'
_cell_length_a 11.6717
_cell_length_b 11.6717
_cell_length_c 18.2137
_cell_angle_alpha 90.00
_cell_angle_beta 90.00
_cell_angle_gamma 120.00
loop_
_atom_site_label
_atom_site_fract_x
_atom_site_fract_y
_atom_site_fract_z
La1 0.0777 0.5388 0.3276
La2 0.0982 0.1964 0.8643
Ho1 0.0201 0.5100 0.1153
Tm1 0.0000 0.0000 0.0000
Tm2 0.0000 0.0000 0.5000
```

two:
# La6Ho3Tm

A relaxed structure of La6Ho3Tm (GGA-PBE, Alexandria via LeMat-Bulk).

## Properties
crystal system: monoclinic

Cell and atoms, written as CIF:
```
data_La6Ho3Tm
_space_group_name_H-M_alt 'P 1 21/c 1'
_space_group_IT_number 14
_space_group_name_Hall '-P 2ybc'
_cell_length_a 5.609
_cell_length_b 10.144
_cell_length_c 12.496
_cell_angle_alpha 90.00
_cell_angle_beta 90.06
_cell_angle_gamma 90.00
loop_
_atom_site_label
_atom_site_fract_x
_atom_site_fract_y
_atom_site_fract_z
La1 0.000 0.181 0.172
La2 0.499 0.053 0.721
La3 0.500 0.188 0.483
Ho1 0.000 0.000 0.500
Ho2 0.000 0.145 0.904
Tm1 0.500 0.000 0.000
```

It comes down to two, which is 52 meV/atom more stable than the next structure.

one:
# LaHo3Tm2

A relaxed structure of LaHo3Tm2 (GGA-PBE, Alexandria via LeMat-Bulk).

## Properties
crystal system: monoclinic

Cell and atoms, written as CIF:
```
data_LaHo3Tm2
_space_group_name_H-M_alt 'C 1 2/m 1'
_space_group_IT_number 12
_space_group_name_Hall '-C 2y'
_cell_length_a 21.841
_cell_length_b 3.631
_cell_length_c 11.312
_cell_angle_alpha 90.00
_cell_angle_beta 121.01
_cell_angle_gamma 90.00
loop_
_atom_site_label
_atom_site_fract_x
_atom_site_fract_y
_atom_site_fract_z
La1 0.110 0.000 0.485
Ho1 0.055 0.500 0.176
Ho2 0.112 0.000 0.987
Ho3 0.222 0.000 0.344
Tm1 0.059 0.500 0.689
Tm2 0.224 0.000 0.852
```

two:
# LaHo3Tm2

A relaxed structure of LaHo3Tm2 (GGA-PBE, Alexandria via LeMat-Bulk).

## Properties
crystal system: orthorhombic

Cell and atoms, written as CIF:
```
data_LaHo3Tm2
_space_group_name_H-M_alt 'C m c m'
_space_group_IT_number 63
_space_group_name_Hall '-C 2c 2'
_cell_length_a 3.573
_cell_length_b 18.522
_cell_length_c 11.524
_cell_angle_alpha 90.00
_cell_angle_beta 90.00
_cell_angle_gamma 90.00
loop_
_atom_site_label
_atom_site_fract_x
_atom_site_fract_y
_atom_site_fract_z
La1 0.000 0.221 0.250
Ho1 0.000 0.107 0.750
Ho2 0.000 0.336 0.004
Tm1 0.000 0.000 0.000
Tm2 0.000 0.446 0.750
```

It comes down to one, which is 7 meV/atom more stable than the next structure.

one:
# LaHo3Tm4

A relaxed structure of LaHo3Tm4 (GGA-PBE, Alexandria via LeMat-Bulk).

## Properties
crystal system: orthorhombic

Cell and atoms, written as CIF:
```
data_LaHo3Tm4
_space_group_name_H-M_alt 'P m n 21'
_space_group_IT_number 31
_space_group_name_Hall 'P 2ac -2'
_cell_length_a 11.235
_cell_length_b 7.233
_cell_length_c 6.230
_cell_angle_alpha 90.00
_cell_angle_beta 90.00
_cell_angle_gamma 90.00
loop_
_atom_site_label
_atom_site_fract_x
_atom_site_fract_y
_atom_site_fract_z
La1 0.000 0.126 0.000
Ho1 0.000 0.871 0.503
Ho2 0.249 0.128 0.338
Tm1 0.000 0.379 0.503
Tm2 0.000 0.623 0.004
Tm3 0.247 0.623 0.338
```

two:
# LaHo3Tm4

A relaxed structure of LaHo3Tm4 (GGA-PBE, Alexandria via LeMat-Bulk).

## Properties
crystal system: monoclinic

Cell and atoms, written as CIF:
```
data_LaHo3Tm4
_space_group_name_H-M_alt 'C 1 2/m 1'
_space_group_IT_number 12
_space_group_name_Hall '-C 2y'
_cell_length_a 12.014
_cell_length_b 12.879
_cell_length_c 3.468
_cell_angle_alpha 90.00
_cell_angle_beta 106.68
_cell_angle_gamma 90.00
loop_
_atom_site_label
_atom_site_fract_x
_atom_site_fract_y
_atom_site_fract_z
La1 0.000 0.000 0.000
Ho1 0.000 0.260 0.500
Ho2 0.000 0.500 0.000
Tm1 0.243 0.363 0.243
```

It comes down to one, which is 117 meV/atom more stable than the next structure.